Below is GdMgIn at its PBEsol-relaxed geometry, with properties calculated at the meta-GGA SCAN level.

Calculated values
formation energy from the elements	-0.49	eV per atom
theoretical density	6.5	g cm⁻³
total DFT energy (no corrections)	-32.884	eV per atom
crystal system	hexagonal

abc: 4.648 7.485 7.485
angles: 120.00 90.00 90.00
Each line ends with the local moment (μB).
Fractional coordinates of all 9 atoms:
Mg (0.500, 0.758, 0.000)  -0.01
Mg (0.500, 0.242, 0.242)  -0.01
Mg (0.500, 0.000, 0.758)  -0.01
Gd (0.000, 0.000, 0.433)  7.11
Gd (0.000, 0.433, 0.000)  7.11
Gd (0.000, 0.567, 0.567)  7.11
In (0.500, 0.667, 0.333)  -0.09
In (0.500, 0.333, 0.667)  -0.09
In (0.000, 0.000, 0.000)  -0.07